[1]
## Ac2TeP (PBE)

Data for a geometry-optimized Ac2TeP structure.

The value obtained for the distance to the lowest polymorph of the same formula is 0.052 eV per atom. Its uncorrected formation energy is -585 kJ/mol of formula units.

Cell lengths 4.4611, 4.4611, 8.3841 Å; angles 74.57, 74.57, 60.00 degrees
With the nearest neighbours (Å) after each atom.
Fractional positions:
Ac 0.0709 0.0709 0.7873  3 P 3.07, 3 Te 3.43
Ac 0.2622 0.2622 0.2135  3 P 3.10, 3 Te 3.46
Te 0.4992 0.4992 0.5025  6 Ac 3.43-3.46
P 0.6677 0.6677 0.9968  6 Ac 3.07-3.10

---

[2]
## CuTe2PSe (PBE)

Data for a geometry-optimized CuTe2PSe structure.

Its uncorrected formation energy is 353 kJ/mol of formula units.

Cell lengths 5.3226, 4.6335, 5.3226 Å; angles 90.00, 90.00, 90.00 degrees
With the nearest neighbours (Å) after each atom.
Fractional positions:
P 0.0000 0.0000 0.0000  2 Se 2.32
Te 0.0000 0.0000 0.5000  2 P 2.66
Te 0.5000 0.0000 0.0000  2 P 2.66
Cu 0.5000 0.5000 0.5000  8 Te 3.53, 4 Se 3.76
Se 0.0000 0.5000 0.0000  2 P 2.32

---

[3]
## TbCe2Tm (PBE)

Data for a geometry-optimized TbCe2Tm structure.

The value obtained for the distance to the lowest polymorph of the same formula is 0.019 eV per atom. The value obtained for the formation energy from the elements is 0.11 eV/atom.

Cell lengths 3.4615, 3.4615, 10.0567 Å; angles 90.00, 90.00, 90.00 degrees
With the nearest neighbours (Å) after each atom.
Fractional positions:
Tm 0.5000 0.5000 0.0000  4 Tm 3.46, 8 Ce 3.49
Tb 0.5000 0.5000 0.5000  4 Tb 3.46, 8 Ce 3.52
Ce 0.0000 0.0000 0.7521  4 Ce 3.46, 4 Tm 3.49, 4 Tb 3.52
Ce 0.0000 0.0000 0.2479  4 Ce 3.46, 4 Tm 3.49, 4 Tb 3.52

---

[4]
## CsTc2O6 (PBE)

Data for a geometry-optimized CsTc2O6 structure.

Its uncorrected formation energy is -1258 kJ/mol of formula units.

Cell lengths 5.3690, 5.3690, 6.5417 Å; angles 90.00, 90.00, 120.00 degrees
With the nearest neighbours (Å) after each atom.
Fractional positions:
Cs 0.0000 0.0000 0.0000  6 O 3.10
Tc 0.3333 0.6667 0.5000  6 O 1.95
Tc 0.6667 0.3333 0.5000  6 O 1.95
O 0.5945 0.0000 0.3378  2 Tc 1.95
O 0.4055 0.4055 0.3378  2 Tc 1.95
O 0.0000 0.5945 0.3378  2 Tc 1.95
O 0.5945 0.5945 0.6622  2 Tc 1.95
O 0.0000 0.4055 0.6622  2 Tc 1.95
O 0.4055 0.0000 0.6622  2 Tc 1.95

---

[5]
## Na2USi3Pt4 (PBE)

Data for a geometry-optimized Na2USi3Pt4 structure.

Its uncorrected formation energy is -498 kJ/mol of formula units.

Cell lengths 4.3062, 4.3062, 10.4404 Å; angles 90.00, 90.00, 90.00 degrees
With the nearest neighbours (Å) after each atom.
Fractional positions:
Na 0.5000 0.0000 0.2279  8 Pt 3.21-3.26, 7 Si 3.27-3.56, 2 U 3.56
Na 0.0000 0.5000 0.7721  8 Pt 3.21-3.26, 7 Si 3.27-3.56, 2 U 3.56
U 0.5000 0.5000 0.5000  4 Pt 2.74, 4 Si 3.04
Si 0.0000 0.0000 0.5000  4 Pt 2.74, 4 U 3.04
Si 0.5000 0.0000 0.8871  5 Pt 2.35-2.45
Si 0.0000 0.5000 0.1129  5 Pt 2.35-2.45
Pt 0.5000 0.5000 0.0000  4 Si 2.45
Pt 0.0000 0.0000 0.0000  4 Si 2.45
Pt 0.5000 0.0000 0.6618  1 Si 2.35
Pt 0.0000 0.5000 0.3382  1 Si 2.35

---

[6]
## Sr2MnPb2 (PBE)

Data for a geometry-optimized Sr2MnPb2 structure.

The value obtained for the distance to the lowest polymorph of the same formula is 0.000 eV per atom. The value obtained for the formation energy from the elements is 0.65 eV/atom.

Cell lengths 8.2642, 8.2642, 4.9653 Å; angles 90.00, 90.00, 90.00 degrees
With the nearest neighbours (Å) after each atom.
Fractional positions:
Pb 0.1405 0.6405 0.5000  1 Pb 3.28, 6 Sr 3.36-3.55
Pb 0.6405 0.8595 0.5000  1 Pb 3.28, 6 Sr 3.36-3.55
Pb 0.8595 0.3595 0.5000  1 Pb 3.28, 6 Sr 3.36-3.55
Pb 0.3595 0.1405 0.5000  1 Pb 3.28, 6 Sr 3.36-3.55
Sr 0.3348 0.8348 0.0000  2 Mn 3.09, 2 Pb 3.36
Sr 0.8348 0.6652 0.0000  2 Mn 3.09, 2 Pb 3.36
Sr 0.6652 0.1652 0.0000  2 Mn 3.09, 2 Pb 3.36
Sr 0.1652 0.3348 0.0000  2 Mn 3.09, 2 Pb 3.36
Mn 0.0000 0.0000 0.0000  4 Sr 3.09
Mn 0.5000 0.5000 0.0000  4 Sr 3.09

---

[7]
## Cs2Hg3BiPb4 (PBE)

Data for a geometry-optimized Cs2Hg3BiPb4 structure.

The value obtained for the formation energy from the elements is -0.13 eV/atom.

Cell lengths 5.3824, 5.3824, 12.7254 Å; angles 90.00, 90.00, 90.00 degrees
With the nearest neighbours (Å) after each atom.
Fractional positions:
Cs 0.5000 0.0000 0.2571  8 Pb 4.06-4.24, 6 Hg 4.10-4.15, 2 Bi 4.10
Cs 0.0000 0.5000 0.7429  8 Pb 4.06-4.24, 6 Hg 4.10-4.15, 2 Bi 4.10
Hg 0.0000 0.0000 0.5000  4 Pb 3.17
Hg 0.5000 0.0000 0.8737  5 Pb 3.09-3.13
Hg 0.0000 0.5000 0.1263  5 Pb 3.09-3.13
Bi 0.5000 0.5000 0.5000  4 Pb 3.17
Pb 0.5000 0.5000 0.0000  4 Hg 3.13
Pb 0.0000 0.0000 0.0000  4 Hg 3.13
Pb 0.5000 0.0000 0.6312  3 Hg 3.09-3.17, 2 Bi 3.17
Pb 0.0000 0.5000 0.3688  3 Hg 3.09-3.17, 2 Bi 3.17

---

[8]
## ZrBr3 (PBE)

Data for a geometry-optimized ZrBr3 structure.

Its uncorrected formation energy is -310 kJ/mol of formula units.

Cell lengths 10.0106, 10.0106, 10.0106 Å; angles 20.37, 20.37, 20.37 degrees
With the nearest neighbours (Å) after each atom.
Fractional positions:
Br 0.7295 0.7295 0.7295  3 Zr 2.76
Br 0.5000 0.5000 0.5000  12 Br 3.54-3.67
Br 0.2705 0.2705 0.2705  3 Zr 2.76
Zr 0.0000 0.0000 0.0000  6 Br 2.76

---

[9]
## PuNpMn4 (PBE)

Data for a geometry-optimized PuNpMn4 structure.

The value obtained for the formation energy from the elements is 0.10 eV/atom.

Cell lengths 5.0515, 5.0515, 5.0515 Å; angles 60.00, 60.00, 60.00 degrees
With the nearest neighbours (Å) after each atom.
Fractional positions:
Np 0.2500 0.2500 0.2500  12 Mn 2.96, 4 Pu 3.09
Mn 0.6248 0.6248 0.1257  6 Mn 2.52-2.53
Mn 0.6248 0.1257 0.6248  6 Mn 2.52-2.53
Mn 0.6248 0.6248 0.6248  6 Mn 2.52-2.53
Mn 0.1257 0.6248 0.6248  6 Mn 2.52-2.53
Pu 0.0000 0.0000 0.0000  12 Mn 2.96, 4 Np 3.09

---

[10]
## Y2ZnPdN (PBE)

Data for a geometry-optimized Y2ZnPdN structure.

Its uncorrected formation energy is -369 kJ/mol of formula units.

Cell lengths 4.8006, 4.8006, 4.0097 Å; angles 90.00, 90.00, 90.00 degrees
With the nearest neighbours (Å) after each atom.
Fractional positions:
Y 0.0000 0.5000 0.0000  2 N 2.40
Y 0.5000 0.0000 0.0000  2 N 2.40
Zn 0.0000 0.0000 0.5000  2 N 2.00
Pd 0.5000 0.5000 0.5000  8 Y 3.13, 4 Zn 3.39
N 0.0000 0.0000 0.0000  2 Zn 2.00

---

[11]
## TlFeBr2 (PBE)

Data for a geometry-optimized TlFeBr2 structure.

The value obtained for the distance to the lowest polymorph of the same formula is 0.041 eV per atom. Its uncorrected formation energy is -86 kJ/mol of formula units.

Cell lengths 6.3355, 6.3355, 6.3355 Å; angles 146.87, 121.12, 69.25 degrees
With the nearest neighbours (Å) after each atom.
Fractional positions:
Br 0.0811 0.0811 0.0000  2 Fe 2.52
Br 0.4189 0.4189 0.0000  2 Fe 2.52
Fe 0.2500 0.7500 0.5000  4 Br 2.52
Tl 0.7500 0.2500 0.5000  8 Br 3.58-3.90, 4 Fe 3.60, 2 Tl 3.61

---

[12]
## TcSbPb2 (PBE)

Data for a geometry-optimized TcSbPb2 structure.

Its uncorrected formation energy is 254 kJ/mol of formula units.

Cell lengths 5.9277, 5.9277, 5.9277 Å; angles 135.53, 135.53, 64.71 degrees
With the nearest neighbours (Å) after each atom.
Fractional positions:
Pb 0.0000 0.0000 0.0000  4 Pb 3.17, 4 Sb 3.36, 4 Tc 3.36
Pb 0.5000 0.5000 0.0000  4 Pb 3.17, 4 Tc 3.36, 4 Sb 3.36
Sb 0.2500 0.7500 0.5000  4 Tc 3.17, 8 Pb 3.36
Tc 0.7500 0.2500 0.5000  4 Sb 3.17, 8 Pb 3.36

---

[13]
## LaPdAu3 (PBE)

Data for a geometry-optimized LaPdAu3 structure.

The value obtained for the distance to the lowest polymorph of the same formula is 0.457 eV per atom. The value obtained for the formation energy from the elements is -0.13 eV/atom.

Cell lengths 5.0460, 5.0460, 5.0460 Å; angles 90.00, 90.00, 90.00 degrees
With the nearest neighbours (Å) after each atom.
Fractional positions:
Au 0.0000 0.5000 0.0000  2 Pd 2.52
Au 0.0000 0.0000 0.5000  2 Pd 2.52
Au 0.5000 0.0000 0.0000  2 Pd 2.52
Pd 0.0000 0.0000 0.0000  6 Au 2.52
La 0.5000 0.5000 0.5000  12 Au 3.57

---

[14]
## Y2Zn3 (PBE)

Data for a geometry-optimized Y2Zn3 structure.

The value obtained for the formation energy from the elements is -0.36 eV/atom.

Cell lengths 3.6390, 4.4567, 13.5338 Å; angles 90.00, 97.73, 90.00 degrees
With the nearest neighbours (Å) after each atom.
Fractional positions:
Y 0.2917 0.7500 0.5833  7 Zn 3.03-3.24
Y 0.7083 0.2500 0.4167  7 Zn 3.03-3.24
Y 0.5726 0.7500 0.1451  12 Zn 3.12-3.20
Y 0.4274 0.2500 0.8549  12 Zn 3.12-3.20
Zn 0.1709 0.7500 0.3417  2 Zn 2.64
Zn 0.8291 0.2500 0.6583  2 Zn 2.64
Zn 0.8820 0.7500 0.7639  3 Zn 2.54-2.64
Zn 0.1180 0.2500 0.2361  3 Zn 2.54-2.64
Zn 0.0232 0.2500 0.0464  3 Zn 2.54-2.55
Zn 0.9768 0.7500 0.9536  3 Zn 2.54-2.55

---

[15]
## TlTePd2 (PBE)

Data for a geometry-optimized TlTePd2 structure.

The value obtained for the distance to the lowest polymorph of the same formula is 0.142 eV per atom. Its uncorrected formation energy is -57 kJ/mol of formula units.

Cell lengths 4.0197, 4.0197, 6.7853 Å; angles 72.77, 72.77, 60.00 degrees
With the nearest neighbours (Å) after each atom.
Fractional positions:
Tl 0.4970 0.4970 0.5091  6 Pd 2.80-2.86
Te 0.6698 0.6698 0.9906  6 Pd 2.77-2.84
Pd 0.0819 0.0819 0.7542  3 Te 2.77, 3 Tl 2.80
Pd 0.2513 0.2513 0.2461  3 Te 2.84, 3 Tl 2.86

---

[16]
## AlBAs3 (PBE)

Data for a geometry-optimized AlBAs3 structure.

The value obtained for the distance to the lowest polymorph of the same formula is 0.000 eV per atom. The value obtained for the formation energy from the elements is 0.73 eV/atom.

Cell lengths 4.4311, 4.4311, 4.4311 Å; angles 90.00, 90.00, 90.00 degrees
With the nearest neighbours (Å) after each atom.
Fractional positions:
As 0.0000 0.5000 0.0000  2 B 2.22
As 0.0000 0.0000 0.5000  2 B 2.22
As 0.5000 0.0000 0.0000  2 B 2.22
B 0.0000 0.0000 0.0000  6 As 2.22
Al 0.5000 0.5000 0.5000  12 As 3.13

---

[17]
## BaCa2BiSb (PBE)

Data for a geometry-optimized BaCa2BiSb structure.

Its uncorrected formation energy is -175 kJ/mol of formula units.

Cell lengths 5.8312, 6.5719, 5.8312 Å; angles 90.00, 90.00, 90.00 degrees
With the nearest neighbours (Å) after each atom.
Fractional positions:
Sb 0.0000 0.0000 0.0000  4 Ca 2.92
Ca 0.0000 0.0000 0.5000  2 Sb 2.92
Ca 0.5000 0.0000 0.0000  2 Sb 2.92
Bi 0.0000 0.5000 0.0000  2 Sb 3.29
Ba 0.5000 0.5000 0.5000  4 Bi 4.12, 8 Ca 4.39

---

[18]
## KMgInBr4 (PBE)

Data for a geometry-optimized KMgInBr4 structure.

Its uncorrected formation energy is -879 kJ/mol of formula units.

Cell lengths 7.7451, 7.6670, 9.0761 Å; angles 90.00, 108.06, 90.00 degrees
With the nearest neighbours (Å) after each atom.
Fractional positions:
K 0.7812 0.7500 0.4403  6 Br 3.30-3.49
K 0.2188 0.2500 0.5597  6 Br 3.30-3.49
Mg 0.2393 0.7500 0.3003  4 Br 2.49-2.52
Mg 0.7607 0.2500 0.6997  4 Br 2.49-2.52
In 0.7447 0.7500 0.9315  6 Br 3.37-3.54
In 0.2553 0.2500 0.0685  6 Br 3.37-3.54
Br 0.9828 0.5006 0.7555  1 Mg 2.52
Br 0.0172 0.0006 0.2445  1 Mg 2.52
Br 0.0172 0.4994 0.2445  1 Mg 2.52
Br 0.9828 0.9994 0.7555  1 Mg 2.52
Br 0.4291 0.7500 0.1231  1 Mg 2.49
Br 0.5709 0.2500 0.8769  1 Mg 2.49
Br 0.4250 0.7500 0.5810  1 Mg 2.51
Br 0.5750 0.2500 0.4190  1 Mg 2.51

---

[19]
## Ta2MnAg (PBE)

Data for a geometry-optimized Ta2MnAg structure.

The value obtained for the distance to the lowest polymorph of the same formula is 0.643 eV per atom. The value obtained for the formation energy from the elements is 0.79 eV/atom.

Cell lengths 3.8603, 3.8603, 10.2272 Å; angles 79.12, 79.12, 90.00 degrees
With the nearest neighbours (Å) after each atom.
Fractional positions:
Mn 0.5000 0.5000 0.0000  4 Ag 2.73, 4 Ta 2.81
Mn 0.2500 0.7500 0.5000  4 Ag 2.73, 4 Ta 2.81
Ag 0.0000 0.0000 0.0000  4 Mn 2.73, 4 Ta 2.83
Ag 0.7500 0.2500 0.5000  4 Mn 2.73, 4 Ta 2.83
Ta 0.6164 0.1250 0.2500  4 Ta 2.68-2.78, 2 Mn 2.81, 2 Ag 2.83
Ta 0.1336 0.6250 0.2500  4 Ta 2.68-2.78, 2 Mn 2.81, 2 Ag 2.83
Ta 0.3750 0.3836 0.7500  4 Ta 2.68-2.78, 2 Mn 2.81, 2 Ag 2.83
Ta 0.8750 0.8664 0.7500  4 Ta 2.68-2.78, 2 Mn 2.81, 2 Ag 2.83

---

[20]
## BaVIn2 (PBE)

Data for a geometry-optimized BaVIn2 structure.

The value obtained for the formation energy from the elements is 0.33 eV/atom.

Cell lengths 5.5146, 5.5146, 10.3893 Å; angles 74.61, 74.61, 90.00 degrees
With the nearest neighbours (Å) after each atom.
Fractional positions:
In 0.4461 0.1250 0.2500  2 V 2.80, 2 In 2.87
In 0.3039 0.6250 0.2500  2 V 2.80, 2 In 2.87
In 0.3750 0.5539 0.7500  2 V 2.80, 2 In 2.87
In 0.8750 0.6961 0.7500  2 V 2.80, 2 In 2.87
Ba 0.0000 0.0000 0.0000  4 In 3.65, 4 V 3.90
Ba 0.7500 0.2500 0.5000  4 In 3.65, 4 V 3.90
V 0.5000 0.5000 0.0000  4 In 2.80
V 0.2500 0.7500 0.5000  4 In 2.80

---

Number 1: E -5.71 eV/atom. Number 2: E -3.12 eV/atom. Number 3: E -5.14 eV/atom. Number 4: E -7.15 eV/atom. Number 5: E -5.95 eV/atom. Number 6: E -3.34 eV/atom. Number 7: E -2.26 eV/atom. Number 8: E -4.20 eV/atom. Number 9: E -10.56 eV/atom. Number 10: E -6.31 eV/atom. Number 11: E -3.77 eV/atom. Number 12: E -4.82 eV/atom. Number 13: E -4.12 eV/atom. Number 14: E -3.71 eV/atom. Number 15: E -4.12 eV/atom. Number 16: E -4.14 eV/atom. Number 17: E -3.15 eV/atom. Number 18: E -3.03 eV/atom. Number 19: E -8.14 eV/atom. Number 20: E -3.80 eV/atom.